1.
Below is crystalline PmTiAlO6 at its relaxed geometry, with properties calculated at the PBE-GGA level.

Calculated values
formation energy (no corrections) = -2578 meV/atom
E = -69.34 eV/cell

Unit cell a=5.1051 b=5.1051 c=5.0437 alpha=90.00 beta=90.00 gamma=120.00
With the nearest neighbours (Å) after each atom.
Space group P312 (No. 149)
One atom of each set of equivalent atoms:
1 Pm 0.0000 0.0000 0.0000 x1  6 O 2.37
2 Ti 0.3333 0.6667 0.5000 x1  6 O 1.97
3 Al 0.6667 0.3333 0.5000 x1  6 O 1.91
4 O 0.3695 0.0085 0.7094 x6  1 Al 1.91, 1 Ti 1.97



2.
Below is crystalline Pm2AlTlO6 at its relaxed geometry, with properties calculated at the PBE-GGA level.

Calculated values
formation energy (no corrections) = -2469 meV/atom
E = -70.05 eV/cell

Unit cell a=5.3428 b=5.3428 c=5.0937 alpha=90.00 beta=90.00 gamma=90.00
With the nearest neighbours (Å) after each atom.
Space group P4mm (No. 99)
One atom of each set of equivalent atoms:
1 Pm 0.0000 0.5000 0.0000 x2  4 O 2.34
2 Al 0.0000 0.0000 0.5946 x1  5 O 1.80-1.89
3 Tl 0.5000 0.5000 0.5495 x1  5 O 2.12-2.22
4 O 0.0000 0.0000 0.2407 x1  1 Al 1.80
5 O 0.2326 0.2326 0.7306 x4  1 Al 1.89
6 O 0.5000 0.5000 0.1337 x1  1 Tl 2.12



3.
Below is crystalline PmUAlO6 at its relaxed geometry, with properties calculated at the PBE-GGA level.

Calculated values
formation energy (no corrections) = -3156 meV/atom
E = -155.87 eV/cell

Unit cell a=5.3095 b=5.3095 c=10.0949 alpha=90.00 beta=90.00 gamma=120.00
With the nearest neighbours (Å) after each atom.
Space group P-31c (No. 163)
One atom of each set of equivalent atoms:
1 Pm 0.0000 0.0000 0.0000 x2  6 O 2.40
2 U 0.3333 0.6667 0.2500 x2  6 O 2.09
3 Al 0.3333 0.6667 0.7500 x2  6 O 1.94
4 O 0.0214 0.3707 0.6429 x12  1 Al 1.94, 1 U 2.09